(1)
A plane-wave DFT calculation with PBE-GGA was carried out for crystalline MnMoPt14 at its relaxed geometry. Values from VASP.

Calculated values
The formation energy is -0.1914 eV/atom. The space-group type is P4/mmm, No. 123. Its crystal system is tetragonal. The calculation puts the total energy at -6.727 eV/atom.

```
&SYSTEM
  ibrav = 0, nat = 16, ntyp = 3
/
ATOMIC_SPECIES
Pt 195.08 Pt.upf
Mn 54.94 Mn.upf
Mo 95.94 Mo.upf
CELL_PARAMETERS angstrom
-1.853 -5.112 -1.397
4.655 -2.277 2.160
-3.549 -0.624 6.992
ATOMIC_POSITIONS angstrom
Pt 1.771 -2.220 2.975
Pt 0.842 -4.784 2.274
Pt 3.379 -3.909 1.366
Pt 2.452 -6.465 0.668
Pt -2.288 -1.382 5.290
Pt -0.883 -5.087 5.672
Pt 0.046 -2.524 6.373
Pt 0.125 -5.327 -0.412
Pt 1.604 -4.221 4.862
Pt -0.564 -1.079 1.892
Pt -3.217 -3.946 4.589
Pt -1.493 -3.642 1.191
Pt 1.051 -2.771 0.286
Pt -1.649 -5.639 3.084
Mn -0.723 -3.083 3.782
Mo 0.678 -6.777 4.163
```

=====

(2)
A plane-wave DFT calculation with PBE-GGA was carried out for crystalline Ca2AcPr at its relaxed geometry. Values from VASP.

Calculated values
The formation energy is 0.0180 eV/atom. The space-group type is P4mm, No. 99. Its crystal system is tetragonal. The calculation puts the total energy at -3.205 eV/atom.

```
&SYSTEM
  ibrav = 0, nat = 4, ntyp = 3
/
ATOMIC_SPECIES
Pr 140.91 Pr.upf
Ca 40.08 Ca.upf
Ac 227.00 Ac.upf
CELL_PARAMETERS angstrom
3.894 0.000 0.000
0.000 3.894 0.000
0.000 0.000 10.886
ATOMIC_POSITIONS angstrom
Pr 0.000 0.000 5.482
Ca 0.000 0.000 0.022
Ca 1.947 1.947 2.814
Ac 1.947 1.947 8.012
```

=====

(3)
A plane-wave DFT calculation with PBE-GGA was carried out for crystalline Ba2CuRu2 at its relaxed geometry. Values from VASP.

Calculated values
The formation energy is 0.4503 eV/atom. The space-group type is I4/mmm, No. 139. Its crystal system is tetragonal. The calculation puts the total energy at -4.848 eV/atom.

```
&SYSTEM
  ibrav = 0, nat = 5, ntyp = 3
/
ATOMIC_SPECIES
Ba 137.33 Ba.upf
Ru 101.07 Ru.upf
Cu 63.55 Cu.upf
CELL_PARAMETERS angstrom
3.621 0.000 0.000
0.000 3.621 0.000
1.811 1.811 9.909
ATOMIC_POSITIONS angstrom
Ba 3.621 3.621 7.749
Ba 1.811 1.811 2.160
Ru 1.811 3.621 4.954
Ru 3.621 1.811 4.954
Cu 0.000 0.000 0.000
```